CsScBr2: optimized geometry, PBEsol.

Properties
E_form (uncorrected): -99 kJ/mol of atoms
Crystal system: trigonal
Total energy: -15.4 eV per cell

Cell: 10.5214 10.5214 10.5214 Å, 21.21 21.21 21.21°
Sites, in units of the cell vectors:
Cs  0.0000  0.0000  0.0000
Sc  0.5000  0.5000  0.5000
Br  0.1143  0.1143  0.1143
Br  0.8857  0.8857  0.8857

LiCrAg: optimized geometry, PBEsol.

Properties
Crystal system: tetragonal
Formation energy from the elements: 1.6 eV per formula unit
Total energy: -13.9 eV per cell

Cell: 6.6902 6.6902 6.6902 Å, 157.90 157.90 31.46°
Sites, in units of the cell vectors:
Li  0.0000  0.0000  0.0000
Cr  0.6680  0.6680  0.0000
Ag  0.3332  0.3332  0.0000

TiCuAsSe2: optimized geometry, PBEsol.

Properties
E_form (uncorrected): 23 kJ/mol of atoms
Crystal system: tetragonal
Total energy: -24.3 eV per cell

Cell: 4.8093 4.8093 4.8417 Å, 90.00 90.00 90.00°
Sites, in units of the cell vectors:
Ti  0.0000  0.0000  0.0000
Cu  0.5000  0.5000  0.5000
As  0.0000  0.0000  0.5000
Se  0.0000  0.5000  0.0000
Se  0.5000  0.0000  0.0000

KCa4Si8H16O29: optimized geometry, PBEsol.

Properties
Crystal system: tetragonal
Total energy: -765.8 eV per cell

Cell: 8.9047 8.9047 15.8365 Å, 90.00 90.00 90.00°
Sites, in units of the cell vectors:
K  0.0000  0.0000  0.0000
K  0.5000  0.5000  0.5000
Ca  0.1136  0.2488  0.5000
Ca  0.2488  0.8864  0.5000
Ca  0.2512  0.3864  0.0000
Ca  0.3864  0.7488  0.0000
Ca  0.6136  0.2512  0.0000
Ca  0.7488  0.6136  0.0000
Ca  0.7512  0.1136  0.5000
Ca  0.8864  0.7512  0.5000
Si  0.0834  0.7699  0.3107
Si  0.0834  0.7699  0.6893
Si  0.2301  0.0834  0.3107
Si  0.2301  0.0834  0.6893
Si  0.2699  0.5834  0.1893
Si  0.2699  0.5834  0.8107
Si  0.4166  0.2699  0.1893
Si  0.4166  0.2699  0.8107
Si  0.5834  0.7301  0.1893
Si  0.5834  0.7301  0.8107
Si  0.7301  0.4166  0.1893
Si  0.7301  0.4166  0.8107
Si  0.7699  0.9166  0.3107
Si  0.7699  0.9166  0.6893
Si  0.9166  0.2301  0.3107
Si  0.9166  0.2301  0.6893
H  0.0557  0.6689  0.0882
H  0.0557  0.6689  0.9118
H  0.0721  0.2757  0.1498
H  0.0721  0.2757  0.8502
H  0.1689  0.5557  0.4118
H  0.1689  0.5557  0.5882
H  0.2243  0.4279  0.3502
H  0.2243  0.4279  0.6498
H  0.2757  0.9279  0.1498
H  0.2757  0.9279  0.8502
H  0.3311  0.0557  0.0882
H  0.3311  0.0557  0.9118
H  0.4279  0.7757  0.3502
H  0.4279  0.7757  0.6498
H  0.4443  0.1689  0.4118
H  0.4443  0.1689  0.5882
H  0.5557  0.8311  0.4118
H  0.5557  0.8311  0.5882
H  0.5721  0.2243  0.3502
H  0.5721  0.2243  0.6498
H  0.6689  0.9443  0.0882
H  0.6689  0.9443  0.9118
H  0.7243  0.0721  0.1498
H  0.7243  0.0721  0.8502
H  0.7757  0.5721  0.3502
H  0.7757  0.5721  0.6498
H  0.8311  0.4443  0.4118
H  0.8311  0.4443  0.5882
H  0.9279  0.7243  0.1498
H  0.9279  0.7243  0.8502
H  0.9443  0.3311  0.0882
H  0.9443  0.3311  0.9118
O  0.0000  0.0000  0.5000
O  0.0488  0.2853  0.0894
O  0.0488  0.2853  0.9106
O  0.0890  0.1908  0.2822
O  0.0890  0.1908  0.7178
O  0.1004  0.7301  0.4091
O  0.1004  0.7301  0.5909
O  0.1296  0.6296  0.2500
O  0.1296  0.6296  0.7500
O  0.1908  0.9110  0.2822
O  0.1908  0.9110  0.7178
O  0.2147  0.4512  0.4106
O  0.2147  0.4512  0.5894
O  0.2301  0.6004  0.0909
O  0.2301  0.6004  0.9091
O  0.2699  0.1004  0.4091
O  0.2699  0.1004  0.5909
O  0.2853  0.9512  0.0894
O  0.2853  0.9512  0.9106
O  0.3092  0.4110  0.2178
O  0.3092  0.4110  0.7822
O  0.3704  0.1296  0.2500
O  0.3704  0.1296  0.7500
O  0.3996  0.2301  0.0909
O  0.3996  0.2301  0.9091
O  0.4110  0.6908  0.2178
O  0.4110  0.6908  0.7822
O  0.4512  0.7853  0.4106
O  0.4512  0.7853  0.5894
O  0.5000  0.5000  0.0000
O  0.5488  0.2147  0.4106
O  0.5488  0.2147  0.5894
O  0.5890  0.3092  0.2178
O  0.5890  0.3092  0.7822
O  0.6004  0.7699  0.0909
O  0.6004  0.7699  0.9091
O  0.6296  0.8704  0.2500
O  0.6296  0.8704  0.7500
O  0.6908  0.5890  0.2178
O  0.6908  0.5890  0.7822
O  0.7147  0.0488  0.0894
O  0.7147  0.0488  0.9106
O  0.7301  0.8996  0.4091
O  0.7301  0.8996  0.5909
O  0.7699  0.3996  0.0909
O  0.7699  0.3996  0.9091
O  0.7853  0.5488  0.4106
O  0.7853  0.5488  0.5894
O  0.8092  0.0890  0.2822
O  0.8092  0.0890  0.7178
O  0.8704  0.3704  0.2500
O  0.8704  0.3704  0.7500
O  0.8996  0.2699  0.4091
O  0.8996  0.2699  0.5909
O  0.9110  0.8092  0.2822
O  0.9110  0.8092  0.7178
O  0.9512  0.7147  0.0894
O  0.9512  0.7147  0.9106

LaFeW2: optimized geometry, PBEsol.

Properties
Energy above the most stable polymorph in this dataset: 355 meV/atom
Crystal system: monoclinic
Formation energy from the elements: 3.2 eV per formula unit
Total energy: -38.7 eV per cell

Cell: 5.5758 5.5758 2.7838 Å, 99.16 99.16 122.67°
Sites, in units of the cell vectors:
La  0.0000  0.0000  0.0000
Fe  0.5000  0.5000  0.0000
W  0.0000  0.5000  0.5000
W  0.5000  0.0000  0.5000

Sr2LiPb2: optimized geometry, PBEsol.

Properties
Crystal system: tetragonal
Formation energy from the elements: -2.3 eV per formula unit
Total energy: -31.9 eV per cell

Cell: 8.0685 8.0685 5.0097 Å, 90.00 90.00 90.00°
Sites, in units of the cell vectors:
Sr  0.1638  0.3362  0.0000
Sr  0.3362  0.8362  0.0000
Sr  0.6638  0.1638  0.0000
Sr  0.8362  0.6638  0.0000
Li  0.0000  0.0000  0.5000
Li  0.5000  0.5000  0.5000
Pb  0.1391  0.6391  0.5000
Pb  0.3609  0.1391  0.5000
Pb  0.6391  0.8609  0.5000
Pb  0.8609  0.3609  0.5000

BaLi3As: optimized geometry, PBEsol.

Properties
Crystal system: cubic
Formation energy from the elements: -1.8 eV per formula unit
Total energy: -15.0 eV per cell

Cell: 4.9314 4.9314 4.9314 Å, 90.00 90.00 90.00°
Sites, in units of the cell vectors:
Ba  0.0000  0.0000  0.0000
Li  0.0000  0.5000  0.5000
Li  0.5000  0.0000  0.5000
Li  0.5000  0.5000  0.0000
As  0.5000  0.5000  0.5000

AcMg: optimized geometry, PBEsol.

Properties
Crystal system: cubic
Formation energy from the elements: -0.2 eV per formula unit
Total energy: -6.4 eV per cell

Cell: 4.0536 4.0536 4.0536 Å, 90.00 90.00 90.00°
Sites, in units of the cell vectors:
Ac  0.0000  0.0000  0.0000
Mg  0.5000  0.5000  0.5000

KCaTeI2: optimized geometry, PBEsol.

Properties
E_form (uncorrected): -102 kJ/mol of atoms
Crystal system: tetragonal
Total energy: -15.6 eV per cell

Cell: 6.0482 6.0482 5.9855 Å, 90.00 90.00 90.00°
Sites, in units of the cell vectors:
K  0.0000  0.0000  0.0000
Ca  0.5000  0.5000  0.5000
Te  0.5000  0.5000  0.0000
I  0.0000  0.5000  0.5000
I  0.5000  0.0000  0.5000

MnBe2PdI: optimized geometry, PBEsol.

Properties
E_form (uncorrected): 83 kJ/mol of atoms
Crystal system: tetragonal
Total energy: -21.2 eV per cell

Cell: 4.2255 4.2255 5.5695 Å, 90.00 90.00 90.00°
Sites, in units of the cell vectors:
Mn  0.0000  0.0000  0.0000
Be  0.0000  0.5000  0.5000
Be  0.5000  0.0000  0.5000
Pd  0.5000  0.5000  0.5000
I  0.5000  0.5000  0.0000

MnPbCl: optimized geometry, PBEsol.

Properties
E_form (uncorrected): -7 kJ/mol of atoms
Crystal system: tetragonal
Total energy: -16.0 eV per cell

Cell: 7.0522 7.0522 7.0522 Å, 154.04 154.04 37.04°
Sites, in units of the cell vectors:
Mn  0.0000  0.0000  0.0000
Pb  0.6630  0.6630  0.0000
Cl  0.4029  0.4029  0.0000

TiOs2RhO: optimized geometry, PBEsol.

Properties
E_form (uncorrected): 229 kJ/mol of atoms
Crystal system: tetragonal
Total energy: -34.3 eV per cell

Cell: 4.5282 4.5282 4.4803 Å, 90.00 90.00 90.00°
Sites, in units of the cell vectors:
Ti  0.0000  0.0000  0.0000
Os  0.0000  0.5000  0.0000
Os  0.5000  0.0000  0.0000
Rh  0.0000  0.0000  0.5000
O  0.5000  0.5000  0.5000